# 1
Compound: DyMg5Pb6
Source: Alexandria
Functional: PBE
Structure: optimized geometry

Cell lengths 6.455, 9.800, 7.186 Å; angles 47.00, 82.30, 78.67 degrees
Element x y z (fractional)
Dy1 0.000 0.000 0.000
Mg1 0.500 0.163 0.675
Mg2 0.000 0.336 0.328
Mg3 0.500 0.500 0.000
Mg4 0.000 0.664 0.672
Mg5 0.500 0.837 0.325
Pb1 0.743 0.087 0.339
Pb2 0.257 0.574 0.339
Pb3 0.250 0.255 0.000
Pb4 0.750 0.745 0.000
Pb5 0.743 0.426 0.661
Pb6 0.257 0.913 0.661

Summary:
Energy of formation from the pure elements   -104 meV per atom
Mass density   7.78 Mg/m³

# 2
Compound: Tb4GaPS2
Source: Alexandria
Functional: PBE
Structure: optimized geometry

Cell lengths 3.959, 7.016, 7.008 Å; angles 71.14, 90.00, 90.00 degrees
Element x y z (fractional)
Tb1 0.000 0.755 0.743
Tb2 0.000 0.245 0.257
Tb3 0.500 0.746 0.255
Tb4 0.500 0.254 0.745
Ga1 0.500 0.500 0.000
P1 0.000 0.500 0.500
S1 0.000 0.000 0.000
S2 0.500 0.000 0.500

Summary:
Mass density   7.22 Mg/m³
Formation energy (no corrections)   -1.549 eV per atom

> Among the records above, which one has the highest mass density?

DyMg5Pb6

> Which of these has the highest mass density?

DyMg5Pb6

> Among the records above, which one has the highest mass density?

DyMg5Pb6